VASP calculation (PBE) on a geometry-optimized Zn2ReW structure.

For the energy above the most stable polymorph in this dataset, the calculation gives 0.085 eV/atom. The space group is Cm. Its formation energy is 0.262 eV/atom.

Cell and atoms, written as extended XYZ:
```
8
Lattice="9.158 0.000 0.000 0.000 2.680 0.000 -0.514 0.000 4.893" Properties=species:S:1:pos:R:3 pbc="T T T"
Zn 0.000 0.000 0.000
Zn 1.843 0.000 3.852
Zn 4.579 1.340 0.000
Zn 6.422 1.340 3.852
Re -0.240 1.340 2.464
Re 4.339 0.000 2.464
W 2.118 1.340 1.401
W 6.697 0.000 1.401
```

---

VASP calculation (PBE) on a geometry-optimized Zr2ReW structure.

The space group is P4mm. Its formation energy is -0.034 eV/atom.

Cell and atoms, written as extended XYZ:
```
4
Lattice="3.185 0.000 0.000 0.000 3.185 0.000 0.000 0.000 7.510" Properties=species:S:1:pos:R:3 pbc="T T T"
Zr 0.000 0.000 0.000
Zr 1.592 1.592 2.243
Re 0.000 0.000 4.111
W 1.592 1.592 5.551
```

---

VASP calculation (PBE) on a geometry-optimized ZrReW structure.

For the energy above the most stable polymorph in this dataset, the calculation gives 0.267 eV/atom. The space group is P3m1. Its formation energy is -0.001 eV/atom.

Cell and atoms, written as extended XYZ:
```
3
Lattice="4.548 0.000 0.000 -2.274 3.939 0.000 0.000 0.000 2.887" Properties=species:S:1:pos:R:3 pbc="T T T"
Zr 0.000 0.000 0.000
Re 2.274 1.313 0.992
W 0.000 2.626 1.856
```

---

VASP calculation (PBE) on a geometry-optimized ZrReW structure.

For the energy above the most stable polymorph in this dataset, the calculation gives 0.000 eV/atom. The space group is Imma. Its formation energy is -0.268 eV/atom.

Cell and atoms, written as extended XYZ:
```
12
Lattice="5.381 0.000 0.000 0.000 5.387 0.000 0.000 0.000 7.518" Properties=species:S:1:pos:R:3 pbc="T T T"
Zr 0.000 1.347 0.957
Zr 0.000 4.040 6.561
Zr 2.690 1.347 2.802
Zr 2.690 4.040 4.717
Re 0.000 0.000 3.759
Re 0.000 2.693 3.759
Re 2.690 0.000 0.000
Re 2.690 2.693 0.000
W 1.345 1.347 5.639
W 1.345 4.040 1.880
W 4.036 1.347 5.639
W 4.036 4.040 1.880
```

---

no.,DFT total energy (eV/atom)
1,-6.73
2,-10.66
3,-11.32
4,-11.58